1.
Here is a geometry-optimized NdScZnIr structure from Alexandria via LeMat-Bulk. Energies are from PBE-GGA.

Cell and atoms, written as POSCAR:
```
NdScZnIr
1.0
4.891 0.000 0.000
2.446 4.236 0.000
2.446 1.412 3.994
Sc Zn Ir Nd
1 1 1 1
direct
0.250 0.250 0.250
0.000 0.000 0.000
0.500 0.500 0.500
0.750 0.750 0.750
```

Properties
- Energy relative to the elements: -2.07 eV per formula unit
- N(E_F): 0.73 states/eV per atom

***

2.
Here is a geometry-optimized AlRh2PbO structure from Alexandria via LeMat-Bulk. Energies are from PBE-GGA.

Cell and atoms, written as POSCAR:
```
AlRh2PbO
1.0
5.063 0.000 0.000
0.000 4.122 0.000
0.000 0.000 5.063
Pb Rh Al O
1 2 1 1
direct
0.000 0.000 0.000
0.000 0.000 0.500
0.500 0.000 0.000
0.500 0.500 0.500
0.000 0.500 0.000
```

Properties
- N(E_F): 0.71 states/eV per atom
- E: -4.58 eV/atom

***

3.
Here is a geometry-optimized Ce4Ge2H structure from Alexandria via LeMat-Bulk. Energies are from PBE-GGA.

Cell and atoms, written as POSCAR:
```
Ce4Ge2H
1.0
5.866 0.000 -0.508
0.000 6.427 0.000
-2.738 0.000 8.658
Ce Ge H
8 4 2
direct
0.539 0.464 0.267
0.111 0.750 0.925
0.889 0.250 0.075
0.539 0.036 0.267
0.885 0.250 0.619
0.461 0.964 0.733
0.461 0.536 0.733
0.115 0.750 0.381
0.712 0.750 0.056
0.288 0.250 0.944
0.227 0.250 0.433
0.773 0.750 0.567
0.292 0.750 0.198
0.708 0.250 0.802
```

Properties
- N(E_F): 2.39 states/eV per atom
- E: -5.73 eV/atom

***

4.
Here is a geometry-optimized BaNaGa3 structure from Alexandria via LeMat-Bulk. Energies are from PBE-GGA.

Cell and atoms, written as POSCAR:
```
BaNaGa3
1.0
4.368 0.000 0.000
0.000 5.073 0.000
0.000 -2.537 13.134
Ba Na Ga
2 2 6
direct
0.250 0.076 0.152
0.750 0.924 0.848
0.250 0.792 0.584
0.750 0.208 0.416
0.250 0.376 0.752
0.750 0.624 0.248
0.250 0.475 0.951
0.750 0.525 0.049
0.750 0.327 0.654
0.250 0.673 0.346
```

Properties
- Energy relative to the elements: -1.33 eV per formula unit
- N(E_F): 0.86 states/eV per atom
- Distance to the lowest polymorph of the same formula: 0.00 eV per formula unit

***

5.
Here is a geometry-optimized YEr2Zn3 structure from Alexandria via LeMat-Bulk. Energies are from PBE-GGA.

Cell and atoms, written as POSCAR:
```
YEr2Zn3
1.0
-1.627 0.607 -3.101
1.392 -2.994 -1.317
-8.503 -5.446 3.396
Y Er Zn
1 2 3
direct
0.500 0.500 0.500
0.500 0.500 0.835
0.500 0.500 0.165
0.000 0.000 0.000
0.000 0.000 0.671
0.000 0.000 0.329
```

Properties
- Energy relative to the elements: -2.11 eV per formula unit
- N(E_F): 1.06 states/eV per atom

***

6.
Here is a geometry-optimized Sc4Cd5Pd2 structure from Alexandria via LeMat-Bulk. Energies are from PBE-GGA.

Cell and atoms, written as POSCAR:
```
Sc4Cd5Pd2
1.0
-2.601 1.384 -1.535
2.482 -2.644 -6.587
-5.170 -7.667 1.848
Sc Cd Pd
4 5 2
direct
0.500 0.781 0.559
0.500 0.171 0.857
0.500 0.219 0.441
0.500 0.829 0.143
0.000 0.542 0.328
0.000 0.180 0.146
0.000 0.500 0.000
0.000 0.820 0.854
0.000 0.458 0.672
0.000 0.074 0.641
0.000 0.926 0.359
```

Properties
- Energy relative to the elements: -5.02 eV per formula unit
- N(E_F): 0.72 states/eV per atom

***

7.
Here is a geometry-optimized LiEuYEr structure from Alexandria via LeMat-Bulk. Energies are from PBE-GGA.

Cell and atoms, written as POSCAR:
```
LiEuYEr
1.0
-1.289 -5.017 2.154
3.788 -2.803 3.045
-0.720 -0.576 5.534
Eu Y Li Er
1 1 1 1
direct
0.250 0.250 0.250
0.750 0.750 0.750
0.000 0.000 0.000
0.500 0.500 0.500
```

Properties
- Energy relative to the elements: 0.83 eV per formula unit
- N(E_F): 1.10 states/eV per atom

***

8.
Here is a geometry-optimized BaCuIr2 structure from Alexandria via LeMat-Bulk. Energies are from PBE-GGA.

Cell and atoms, written as POSCAR:
```
BaCuIr2
1.0
4.217 0.000 0.000
0.000 2.982 0.137
0.000 1.424 6.601
Ba Cu Ir
1 1 2
direct
0.000 0.585 0.514
0.500 0.916 0.812
0.000 0.775 0.035
0.500 0.224 0.138
```

Properties
- Energy relative to the elements: 1.24 eV per formula unit
- N(E_F): 0.86 states/eV per atom
- Distance to the lowest polymorph of the same formula: 1.80 eV per formula unit

***

Values for M_tot, μB/cell, ordered as above
0.00 0.00 5.87 0.00 0.00 0.00 7.16 0.00